Ni5GeB2: relaxed, PBE.

a = 5.5810 Å, b = 5.5810 Å, c = 6.4717 Å
α = 115.54°, β = 115.54°, γ = 90.00°
Positions (direct):
Ge 0.7500 0.7500 0.5000
Ge 0.2500 0.2500 0.5000
B 0.8781 0.6219 0.0000
B 0.1219 0.3781 0.0000
B 0.3781 0.8781 0.0000
B 0.6219 0.1219 0.0000
Ni 0.8011 0.9623 0.2634
Ni 0.4623 0.3011 0.2634
Ni 0.9623 0.4623 0.2634
Ni 0.3011 0.8011 0.2634
Ni 0.5377 0.6989 0.7366
Ni 0.0000 0.0000 0.0000
Ni 0.1989 0.0377 0.7366
Ni 0.6989 0.1989 0.7366
Ni 0.0377 0.5377 0.7366
Ni 0.5000 0.5000 0.0000

## Properties
Uncorrected energy ... -0.4500 Ry/atom
Formation energy from the elements ... -263 meV/atom
Magnetic moment ... 0.00 μB/cell